# BaCoNF2 (PBE with a Hubbard U, optimized geometry)
# ΔE to the lowest computed polymorph = 0.00 eV/f.u.
data_BaCoNF2
_symmetry_space_group_name_H-M 'P 4/m m m'
_symmetry_Int_Tables_number 123
_symmetry_space_group_name_Hall '-P 4 2'
_cell_length_a 4.347
_cell_length_b 4.347
_cell_length_c 3.793
_cell_angle_alpha 90.00
_cell_angle_beta 90.00
_cell_angle_gamma 90.00
loop_
_atom_site_label
_atom_site_type_symbol
_atom_site_fract_x
_atom_site_fract_y
_atom_site_fract_z
_atom_site_occupancy
Ba1 Ba 0.000 0.000 0.000 1
Co1 Co 0.500 0.500 0.500 1
N1 N 0.500 0.500 0.000 1
F1 F 0.000 0.500 0.500 1